# 1
Compound: V2GaHPd
Source: Alexandria
Functional: PBE
Structure: relaxed

Geometry as POSCAR:
```
V2GaHPd
1.0
3.7076 0.0000 0.0000
0.0000 3.7076 0.0000
0.0000 0.0000 4.2641
V Ga Pd H
2 1 1 1
Cartesian
1.8538 0.0000 0.0000
0.0000 1.8538 0.0000
1.8538 1.8538 2.1321
0.0000 0.0000 2.1321
0.0000 0.0000 0.0000
```

Values from the calculation:
**Total magnetic moment**: 0.00 μB per formula unit
**DFT total energy**: -31.1 eV/cell
**Space-group type**: P4/mmm (123)

=====

# 2
Compound: VGaHPd2
Source: Alexandria
Functional: PBE
Structure: relaxed

Geometry as POSCAR:
```
VGaHPd2
1.0
-3.2323 1.7029 -1.5506
0.9970 -1.3743 -3.5874
-2.0930 -3.3381 0.6971
V Pd H Ga
1 2 1 1
Cartesian
-1.0465 -1.6691 0.3486
0.4985 -0.6872 -1.7937
-1.6162 0.8514 -0.7753
0.0000 0.0000 0.0000
-2.1642 -1.5048 -2.2205
```

Values from the calculation:
**Total magnetic moment**: 2.83 μB per formula unit
**DFT total energy**: -27.0 eV/cell
**Space-group type**: P4/mmm (123)

=====

# 3
Compound: ZnGaHPd4
Source: Alexandria
Functional: PBE
Structure: relaxed

Geometry as POSCAR:
```
ZnGaHPd4
1.0
-4.9879 1.9042 1.0165
-1.8467 -2.4348 -4.5004
1.1412 -6.3511 2.9677
Ga Pd H Zn
2 8 2 2
Cartesian
-4.9302 -5.0696 -0.1658
-0.7632 -1.8121 -0.3503
-1.9233 -2.2234 1.9921
-1.5889 -2.6399 -2.8513
-2.5191 -6.3526 -0.4610
0.5706 -3.1755 1.4839
-4.1044 -4.2418 2.3353
-3.1742 -0.5291 -0.0551
-0.3527 -4.3929 -0.7663
-2.8467 -3.4408 -0.2580
-2.0838 -4.6151 -1.5796
-3.6095 -2.2665 1.0635
-1.5201 -4.8332 1.5948
-4.1732 -2.0484 -2.1109
```

Values from the calculation:
**Total magnetic moment**: 0.00 μB per formula unit
**DFT total energy**: -62.3 eV/cell
**Space-group type**: Cmcm (63)

=====

# 4
Compound: ZrGaHPd2
Source: Alexandria
Functional: PBE
Structure: relaxed

Geometry as POSCAR:
```
ZrGaHPd2
1.0
4.0338 0.0000 0.0000
0.0000 4.0338 0.0000
0.0000 0.0000 4.3459
Pd Ga H Zr
2 1 1 1
Cartesian
2.0169 0.0000 0.0000
0.0000 2.0169 0.0000
2.0169 2.0169 2.1730
0.0000 0.0000 0.0000
0.0000 0.0000 2.1730
```

Values from the calculation:
**Total magnetic moment**: 0.00 μB per formula unit
**DFT total energy**: -27.4 eV/cell
**Space-group type**: P4/mmm (123)

=====

# 5
Compound: PmGa2H6
Source: Alexandria
Functional: PBE
Structure: relaxed

Geometry as POSCAR:
```
PmGa2H6
1.0
-2.3839 2.0874 4.2844
-5.2983 -0.2739 0.4993
-2.1687 -3.2012 3.6668
Ga H Pm
2 6 1
Cartesian
-2.4627 -0.3469 2.1126
-7.3882 -1.0408 6.3379
-5.0851 -0.5141 2.6303
-3.7454 -1.7671 3.9862
-3.8375 0.4967 4.2506
-6.0134 -1.8844 4.1999
-4.7659 -0.8736 5.8202
-6.1055 0.3795 4.4643
0.0000 0.0000 0.0000
```

Values from the calculation:
**Total magnetic moment**: 0.00 μB per formula unit
**DFT total energy**: -26.0 eV/cell
**Space-group type**: Fm-3m (225)

=====

# 6
Compound: Pm5Ga2H
Source: Alexandria
Functional: PBE
Structure: relaxed

Geometry as POSCAR:
```
Pm5Ga2H
1.0
-4.1671 3.3954 4.4367
-0.5599 -5.7617 3.8818
5.8393 2.4113 -1.8313
Pm Ga H
5 2 1
Cartesian
-0.5920 -0.5574 5.3479
4.3730 -1.0555 2.1878
2.5745 3.5103 2.4646
2.2957 0.6376 4.4011
4.6537 1.8178 0.2539
1.4730 -2.2602 3.1150
-0.3297 2.3161 3.3923
0.1294 0.0458 0.0856
```

Values from the calculation:
**Total magnetic moment**: 0.00 μB per formula unit
**DFT total energy**: -34.7 eV/cell
**Space-group type**: I4mm (107)